# RbP2RuCl | Alexandria | GGA-PBE | optimized geometry
# size of the total moment	0.000	μB per formula unit
# energy above the most stable polymorph in this dataset	0	meV/atom
# ΔE_f (raw)	-237	meV per atom
# total DFT energy (no corrections)	-4.82	eV/atom
# V	26.46	Å³ per atom
data_RbP2RuCl
_chemical_formula_sum 'Rb1 P2 Ru1 Cl1'
_cell_length_a 4.4898
_cell_length_b 4.4898
_cell_length_c 6.5642
_cell_angle_alpha 90.00
_cell_angle_beta 90.00
_cell_angle_gamma 90.00
_symmetry_space_group_name_H-M 'P 4/m m m'
_symmetry_Int_Tables_number 123
_symmetry_space_group_name_Hall '-P 4 2'
loop_
_atom_site_label
_atom_site_type_symbol
_atom_site_fract_x
_atom_site_fract_y
_atom_site_fract_z
Rb1 Rb 0.0000 0.0000 0.0000
P1 P 0.0000 0.5000 0.5000
Ru1 Ru 0.5000 0.5000 0.5000
Cl1 Cl 0.5000 0.5000 0.0000